Entry 1:
First-principles (PBE-GGA) data for an optimized crystal structure of Er2TeO2, as listed in Alexandria via LeMat-Bulk.

Summary:
Total magnetization, μB/f.u.: 0.0
Raw total energy, eV for the cell shown: -73.41
E_form (uncorrected), kJ per mole of atoms: -280

Lattice parameters (Å, degrees): 3.8774 3.8774 14.3245 90.00 90.00 120.00
Space group P6_3/mmc (No. 194)
Symmetry-distinct sites (fractional):
Er 0.3333 0.6667 0.0972 [4 per cell]
Te 0.0000 0.0000 0.2500 [2 per cell]
O 0.3333 0.6667 0.5600 [4 per cell]

=====

Entry 2:
First-principles (PBE-GGA) data for an optimized crystal structure of Er2TeO6, as listed in Alexandria via LeMat-Bulk.

Summary:
Total magnetization, μB/f.u.: 0.0
DOS(E_F), states/eV/f.u.: 0.00
Raw total energy, eV for the cell shown: -260.72
E_form (uncorrected), kJ per mole of atoms: -248

Lattice parameters (Å, degrees): 5.265 9.086 9.961 90.00 90.00 90.00
Space group P2_12_12_1 (No. 19)
Symmetry-distinct sites (fractional):
Er 0.017 0.103 0.462 [4 per cell]
Er 0.040 0.217 0.866 [4 per cell]
Te 0.037 0.495 0.351 [4 per cell]
O 0.092 0.843 0.030 [4 per cell]
O 0.171 0.950 0.302 [4 per cell]
O 0.179 0.641 0.821 [4 per cell]
O 0.189 0.642 0.238 [4 per cell]
O 0.236 0.115 0.069 [4 per cell]
O 0.243 0.586 0.496 [4 per cell]

=====

Entry 3:
First-principles (PBE-GGA) data for an optimized crystal structure of Er6TeO12, as listed in Alexandria via LeMat-Bulk.

Summary:
Total magnetization, μB/f.u.: 0.0
DOS(E_F), states/eV/f.u.: 0.00
Raw total energy, eV for the cell shown: -145.66
E_form (uncorrected), kJ per mole of atoms: -283

Lattice parameters (Å, degrees): 6.309 6.565 9.470 86.60 70.86 65.31
Space group P-1 (No. 2)
Symmetry-distinct sites (fractional):
Er 0.008 0.440 0.178 [2 per cell]
Er 0.187 0.197 0.505 [2 per cell]
Er 0.387 0.780 0.211 [2 per cell]
Te 0.500 0.500 0.500 [1 per cell]
O 0.058 0.717 0.259 [2 per cell]
O 0.172 0.539 0.521 [2 per cell]
O 0.216 0.131 0.275 [2 per cell]
O 0.254 0.343 0.953 [2 per cell]
O 0.391 0.560 0.713 [2 per cell]
O 0.437 0.819 0.459 [2 per cell]

=====

Entry 4:
First-principles (PBE-GGA) data for an optimized crystal structure of Er2TeO6, as listed in Alexandria via LeMat-Bulk.

Summary:
Total magnetization, μB/f.u.: 0.0
DOS(E_F), states/eV/f.u.: 0.00
Raw total energy, eV for the cell shown: -129.36
E_form (uncorrected), kJ per mole of atoms: -243

Lattice parameters (Å, degrees): 4.962 4.962 10.005 90.00 90.00 90.00
Space group P4_2/mnm (No. 136)
Symmetry-distinct sites (fractional):
Er 0.000 0.000 0.165 [4 per cell]
Te 0.000 0.000 0.500 [2 per cell]
O 0.184 0.184 0.353 [8 per cell]
O 0.220 0.220 0.000 [4 per cell]

=====

Entry 5:
First-principles (PBE-GGA) data for an optimized crystal structure of Er2TeO6, as listed in Alexandria via LeMat-Bulk.

Summary:
Total magnetization, μB/f.u.: 0.0
DOS(E_F), states/eV/f.u.: 0.00
Raw total energy, eV for the cell shown: -195.51
E_form (uncorrected), kJ per mole of atoms: -248

Lattice parameters (Å, degrees): 9.1021 9.1021 5.1658 90.00 90.00 120.00
Space group P321 (No. 150)
Symmetry-distinct sites (fractional):
Er 0.0000 0.2840 0.0000 [3 per cell]
Er 0.0000 0.6208 0.5000 [3 per cell]
Te 0.0000 0.0000 0.5000 [1 per cell]
Te 0.3333 0.6667 0.9988 [2 per cell]
O 0.0799 0.8779 0.2877 [6 per cell]
O 0.1313 0.5438 0.2136 [6 per cell]
O 0.2258 0.7630 0.7824 [6 per cell]

=====

Entry 6:
First-principles (PBE-GGA) data for an optimized crystal structure of Er3Te3O, as listed in Alexandria via LeMat-Bulk.

Summary:
Total magnetization, μB/f.u.: 0.0
DOS(E_F), states/eV/f.u.: 2.56
Raw total energy, eV for the cell shown: -159.99
E_form (uncorrected), kJ per mole of atoms: -164

Lattice parameters (Å, degrees): 9.099 15.727 6.073 90.00 90.00 90.00
Space group Cmcm (No. 63)
Symmetry-distinct sites (fractional):
Er 0.000 0.196 0.250 [4 per cell]
Er 0.205 0.402 0.250 [8 per cell]
Te 0.000 0.186 0.750 [4 per cell]
Te 0.220 0.407 0.750 [8 per cell]
O 0.000 0.333 0.250 [4 per cell]